(1)
The following is a DFT calculation (PBE) of crystalline Pu2Hg2Bi at its relaxed geometry.

Cell and atoms, written as extended XYZ:
```
10
Lattice="3.960 0.000 1.196 -0.249 7.717 7.976 -5.298 16.813 24.692" Properties=species:S:1:pos:R:3 pbc="T T T"
Hg 2.888 6.676 8.321
Pu -3.462 16.777 22.190
Pu 1.876 7.754 11.674
Hg 0.030 13.307 17.783
Hg -1.616 11.224 16.081
Bi -0.521 9.991 12.454
Hg -4.474 17.855 25.543
Bi -1.065 14.539 21.410
Pu 1.291 4.512 6.454
Pu -2.878 20.019 27.409
```

* space-group type: C2/m (12)
* ΔE_f: -209 meV/atom



(2)
The following is a DFT calculation (PBE) of crystalline Li4PuCd5 at its relaxed geometry.

Cell and atoms, written as extended XYZ:
```
10
Lattice="3.331 0.000 0.000 0.000 3.331 0.000 0.000 0.000 17.728" Properties=species:S:1:pos:R:3 pbc="T T T"
Li 0.000 0.000 13.735
Cd 1.666 1.666 2.382
Cd 1.666 1.666 15.346
Li 0.000 0.000 3.993
Li 0.000 0.000 7.253
Pu 0.000 0.000 0.000
Cd 1.666 1.666 5.620
Cd 1.666 1.666 12.107
Cd 1.666 1.666 8.864
Li 0.000 0.000 10.474
```

* space-group type: P4/mmm (123)
* ΔE_f: -202 meV/atom



(3)
The following is a DFT calculation (PBE) of crystalline Nd2As4Ir3Rh at its relaxed geometry.

Cell and atoms, written as extended XYZ:
```
10
Lattice="4.318 0.000 0.000 0.000 4.318 0.000 0.000 0.000 10.025" Properties=species:S:1:pos:R:3 pbc="T T T"
Ir 2.159 0.000 8.819
Rh 2.159 2.159 5.013
As 2.159 2.159 0.000
Ir 0.000 0.000 5.013
As 2.159 0.000 6.380
Nd 2.159 0.000 2.480
As 0.000 2.159 3.645
Ir 0.000 2.159 1.206
Nd 0.000 2.159 7.545
As 0.000 0.000 0.000
```

* space-group type: P-4m2 (115)
* ΔE_f: -797 meV/atom



(4)
The following is a DFT calculation (PBE) of crystalline Tl2V2Cl7 at its relaxed geometry.

Cell and atoms, written as extended XYZ:
```
11
Lattice="6.801 -0.238 -0.321 -0.354 6.116 2.734 -0.399 -0.488 6.679" Properties=species:S:1:pos:R:3 pbc="T T T"
V 0.018 1.327 2.221
Tl 3.011 0.866 5.639
Cl 5.000 2.986 5.057
Cl 0.925 2.568 7.589
Cl 0.945 5.455 5.864
Cl 5.102 -0.065 3.228
Cl 5.122 2.822 1.504
Tl 3.036 4.524 3.454
Cl 1.047 2.404 4.036
Cl 0.000 0.000 0.000
V 6.030 4.063 6.871
```

* space-group type: C2/m (12)
* formation energy without anion corrections: -1.04 eV/atom



(5)
The following is a DFT calculation (PBE) of crystalline Cu2Au at its relaxed geometry.

Cell and atoms, written as extended XYZ:
```
6
Lattice="-2.903 -3.249 -2.874 -0.374 -3.321 -4.009 4.169 0.725 9.244" Properties=species:S:1:pos:R:3 pbc="T T T"
Cu -2.241 -5.037 -4.674
Cu 4.094 0.693 9.077
Au -0.829 -4.039 -1.591
Au 2.682 -0.304 5.995
Cu 1.681 -1.668 3.851
Cu 0.172 -2.676 0.553
```

* space-group type: C2/m (12)
* ΔE_f: -23 meV/atom
* energy above the most stable polymorph in this dataset: 14 meV per atom



(6)
The following is a DFT calculation (PBE) of crystalline AgGeI2O at its relaxed geometry.

Cell and atoms, written as extended XYZ:
```
5
Lattice="5.737 0.000 0.000 0.000 5.737 0.000 0.000 0.000 4.017" Properties=species:S:1:pos:R:3 pbc="T T T"
I 0.000 2.868 0.000
I 2.868 0.000 0.000
O 0.000 0.000 2.008
Ge 2.868 2.868 2.008
Ag 0.000 0.000 0.000
```

* space-group type: P4/mmm (123)
* formation energy without anion corrections: 0.34 eV/atom
* energy above the most stable polymorph in this dataset: 534 meV per atom



(7)
The following is a DFT calculation (PBE) of crystalline In2NiSb at its relaxed geometry.

Cell and atoms, written as extended XYZ:
```
4
Lattice="-0.258 4.357 2.483 -3.619 3.303 -1.096 -3.729 0.813 3.263" Properties=species:S:1:pos:R:3 pbc="T T T"
Sb -5.705 6.355 3.487
In 0.000 0.000 0.000
In -1.902 2.118 1.162
Ni -3.803 4.237 2.325
```

* space-group type: F-43m (216)
* formation energy without anion corrections: 0.31 eV/atom



(8)
The following is a DFT calculation (PBE) of crystalline Rb2HfAgB at its relaxed geometry.

Cell and atoms, written as extended XYZ:
```
5
Lattice="-0.530 0.663 6.920 3.454 -3.876 0.636 5.209 4.634 -0.045" Properties=species:S:1:pos:R:3 pbc="T T T"
Ag 1.727 -1.938 0.318
Rb 2.605 2.317 -0.022
Hf 0.000 0.000 0.000
B 4.066 0.710 3.756
Rb -0.265 0.332 3.460
```

* space-group type: P4/mmm (123)
* ΔE_f: 2011 meV/atom